Entry 1:
{
  "formula": "NaZn10Pd2",
  "functional": "GGA-PBE",
  "state": "relaxed",
  "spacegroup": "Cmcm (63)",
  "formation_enthalpy_0k_ev_per_atom": -0.209,
  "density_g_cm3": 7.1,
  "energy_ev_per_atom": -2.0892,
  "lattice_angstrom": [[6.904, -0.056, 0.000], [-1.077, 6.819, 0.000], [0.000, 0.000, 8.901]],
  "species": ["Na", "Na", "Zn", "Zn", "Zn", "Zn", "Zn", "Zn", "Zn", "Zn", "Zn", "Zn", "Zn", "Zn", "Zn", "Zn", "Zn", "Zn", "Zn", "Zn", "Zn", "Zn", "Pd", "Pd", "Pd", "Pd"],
  "fractional_positions": [[0.868, 0.132, 0.750], [0.132, 0.868, 0.250], [0.388, 0.145, 0.750], [0.612, 0.855, 0.250], [0.855, 0.612, 0.750], [0.145, 0.388, 0.250], [0.525, 0.781, 0.750], [0.475, 0.219, 0.250], [0.219, 0.475, 0.750], [0.781, 0.525, 0.250], [0.853, 0.147, 0.400], [0.147, 0.853, 0.900], [0.853, 0.147, 0.100], [0.147, 0.853, 0.600], [0.620, 0.380, 0.947], [0.380, 0.620, 0.447], [0.620, 0.380, 0.553], [0.380, 0.620, 0.053], [0.772, 0.772, 0.000], [0.228, 0.228, 0.500], [0.228, 0.228, 0.000], [0.772, 0.772, 0.500], [0.500, 0.000, 0.000], [0.500, 0.000, 0.500], [0.000, 0.500, 0.500], [0.000, 0.500, 0.000]]
}


Entry 2:
{
  "formula": "NaZn6Pd2",
  "functional": "GGA-PBE",
  "state": "relaxed",
  "spacegroup": "Immm (71)",
  "formation_enthalpy_0k_ev_per_atom": -0.153,
  "density_g_cm3": 6.8,
  "energy_ev_per_atom": -2.3029,
  "lattice_angstrom": [[3.590, 0.000, 0.000], [1.795, 7.062, 1.487], [1.795, 2.852, 6.629]],
  "species": ["Na", "Zn", "Zn", "Zn", "Zn", "Zn", "Zn", "Pd", "Pd"],
  "fractional_positions": [[0.000, 0.000, 0.000], [0.684, 0.015, 0.618], [0.316, 0.985, 0.382], [0.316, 0.382, 0.985], [0.500, 0.681, 0.319], [0.500, 0.319, 0.681], [0.684, 0.618, 0.015], [0.870, 0.630, 0.630], [0.130, 0.370, 0.370]]
}


- Which formula does entry 1 have?
  NaZn10Pd2


Copy entry 1 word for word.
{
  "formula": "NaZn10Pd2",
  "functional": "GGA-PBE",
  "state": "relaxed",
  "spacegroup": "Cmcm (63)",
  "formation_enthalpy_0k_ev_per_atom": -0.209,
  "density_g_cm3": 7.1,
  "energy_ev_per_atom": -2.0892,
  "lattice_angstrom": [[6.904, -0.056, 0.000], [-1.077, 6.819, 0.000], [0.000, 0.000, 8.901]],
  "species": ["Na", "Na", "Zn", "Zn", "Zn", "Zn", "Zn", "Zn", "Zn", "Zn", "Zn", "Zn", "Zn", "Zn", "Zn", "Zn", "Zn", "Zn", "Zn", "Zn", "Zn", "Zn", "Pd", "Pd", "Pd", "Pd"],
  "fractional_positions": [[0.868, 0.132, 0.750], [0.132, 0.868, 0.250], [0.388, 0.145, 0.750], [0.612, 0.855, 0.250], [0.855, 0.612, 0.750], [0.145, 0.388, 0.250], [0.525, 0.781, 0.750], [0.475, 0.219, 0.250], [0.219, 0.475, 0.750], [0.781, 0.525, 0.250], [0.853, 0.147, 0.400], [0.147, 0.853, 0.900], [0.853, 0.147, 0.100], [0.147, 0.853, 0.600], [0.620, 0.380, 0.947], [0.380, 0.620, 0.447], [0.620, 0.380, 0.553], [0.380, 0.620, 0.053], [0.772, 0.772, 0.000], [0.228, 0.228, 0.500], [0.228, 0.228, 0.000], [0.772, 0.772, 0.500], [0.500, 0.000, 0.000], [0.500, 0.000, 0.500], [0.000, 0.500, 0.500], [0.000, 0.500, 0.000]]
}


- Number 2 is which compound?
  NaZn6Pd2


Copy entry 1 word for word.
{
  "formula": "NaZn10Pd2",
  "functional": "GGA-PBE",
  "state": "relaxed",
  "spacegroup": "Cmcm (63)",
  "formation_enthalpy_0k_ev_per_atom": -0.209,
  "density_g_cm3": 7.1,
  "energy_ev_per_atom": -2.0892,
  "lattice_angstrom": [[6.904, -0.056, 0.000], [-1.077, 6.819, 0.000], [0.000, 0.000, 8.901]],
  "species": ["Na", "Na", "Zn", "Zn", "Zn", "Zn", "Zn", "Zn", "Zn", "Zn", "Zn", "Zn", "Zn", "Zn", "Zn", "Zn", "Zn", "Zn", "Zn", "Zn", "Zn", "Zn", "Pd", "Pd", "Pd", "Pd"],
  "fractional_positions": [[0.868, 0.132, 0.750], [0.132, 0.868, 0.250], [0.388, 0.145, 0.750], [0.612, 0.855, 0.250], [0.855, 0.612, 0.750], [0.145, 0.388, 0.250], [0.525, 0.781, 0.750], [0.475, 0.219, 0.250], [0.219, 0.475, 0.750], [0.781, 0.525, 0.250], [0.853, 0.147, 0.400], [0.147, 0.853, 0.900], [0.853, 0.147, 0.100], [0.147, 0.853, 0.600], [0.620, 0.380, 0.947], [0.380, 0.620, 0.447], [0.620, 0.380, 0.553], [0.380, 0.620, 0.053], [0.772, 0.772, 0.000], [0.228, 0.228, 0.500], [0.228, 0.228, 0.000], [0.772, 0.772, 0.500], [0.500, 0.000, 0.000], [0.500, 0.000, 0.500], [0.000, 0.500, 0.500], [0.000, 0.500, 0.000]]
}